1.
PrAgAs2Pd5 | Alexandria via LeMat-Bulk | PBE-GGA | optimized geometry; formation energy from the elements = -0.436 eV/atom; total energy = -5.202 eV per atom
1.0
-3.2457 -1.2386 3.1024
2.6072 -3.6435 1.2730
3.5115 4.4117 5.4350
Pr Ag As Pd
1 1 2 5
direct
0.0000 0.0000 0.5000 Pr
0.0000 0.0000 0.0000 Ag
0.5000 0.5000 0.1604 As
0.5000 0.5000 0.8396 As
0.0000 0.5000 0.2576 Pd
0.5000 0.0000 0.2576 Pd
0.0000 0.5000 0.7424 Pd
0.5000 0.0000 0.7424 Pd
0.5000 0.5000 0.5000 Pd

2.
AgAsPdPt | Alexandria via LeMat-Bulk | PBE-GGA | optimized geometry; formation energy from the elements = -0.055 eV/atom; total energy = -4.739 eV per atom
1.0
4.5315 0.0000 0.0000
2.2657 3.9244 0.0000
2.2657 1.3081 3.6999
As Pd Ag Pt
1 1 1 1
direct
0.2500 0.2500 0.2500 As
0.0000 0.0000 0.0000 Pd
0.7500 0.7500 0.7500 Ag
0.5000 0.5000 0.5000 Pt

3.
RbAgAsPd | Alexandria via LeMat-Bulk | PBE-GGA | optimized geometry; formation energy from the elements = -0.200 eV/atom; total energy = -3.615 eV per atom
1.0
4.2333 0.0000 0.0000
0.0000 4.2333 0.0000
0.0000 0.0000 12.6163
Rb Ag As Pd
2 2 2 2
direct
0.7500 0.7500 0.2592 Rb
0.2500 0.2500 0.7408 Rb
0.2500 0.7500 0.5000 Ag
0.7500 0.2500 0.5000 Ag
0.7500 0.7500 0.8958 As
0.2500 0.2500 0.1042 As
0.7500 0.2500 0.0000 Pd
0.2500 0.7500 0.0000 Pd

4.
Rb2AgAs2Pd2 | Alexandria via LeMat-Bulk | PBE-GGA | optimized geometry; formation energy from the elements = -0.359 eV/atom; total energy = -3.854 eV per atom
1.0
-3.1169 -2.0700 -2.6816
0.4116 -6.4991 0.5870
-5.9526 -2.3072 4.7486
Rb Ag As Pd
2 1 2 2
direct
0.5656 0.1983 0.6705 Rb
0.4344 0.8017 0.3295 Rb
0.0000 0.0000 0.0000 Ag
0.2413 0.7051 0.8122 As
0.7587 0.2949 0.1878 As
0.2320 0.4294 0.1065 Pd
0.7680 0.5706 0.8935 Pd

5.
ScAg2AsPd | Alexandria via LeMat-Bulk | PBE-GGA | optimized geometry; formation energy from the elements = 0.169 eV/atom; total energy = -4.207 eV per atom
1.0
-3.8604 -2.5056 1.3996
-1.3299 -0.6571 -4.8445
2.5773 -4.0586 -0.1571
Sc As Pd Ag
1 1 1 2
direct
0.0000 0.5000 0.0000 Sc
0.0000 0.0000 0.0000 As
0.5000 0.5000 0.5000 Pd
0.0000 0.0000 0.5000 Ag
0.5000 0.0000 0.0000 Ag

6.
AgAsPdSe2 | Alexandria via LeMat-Bulk | PBE-GGA | optimized geometry; ΔE to the lowest computed polymorph = 447 meV/atom; formation energy (no corrections) = 0.932 eV per atom; total energy = -3.001 eV per atom
1.0
-2.1081 -4.1423 1.9885
1.9337 -2.7844 -3.7503
4.0605 -0.7825 2.6746
As Se Pd Ag
1 2 1 1
direct
0.0000 0.0000 0.5000 As
0.0000 0.5000 0.0000 Se
0.5000 0.0000 0.0000 Se
0.5000 0.5000 0.5000 Pd
0.0000 0.0000 0.0000 Ag

7.
AgAs2PdSe | Alexandria via LeMat-Bulk | PBE-GGA | optimized geometry; ΔE to the lowest computed polymorph = 0 meV/atom; formation energy (no corrections) = 0.550 eV per atom; total energy = -3.616 eV per atom
1.0
-2.6169 -1.3403 3.8016
3.8360 0.5646 2.8396
-1.3484 4.9869 0.8300
As Se Pd Ag
2 1 1 1
direct
0.0000 0.5000 0.0000 As
0.5000 0.0000 0.0000 As
0.0000 0.0000 0.5000 Se
0.0000 0.0000 0.0000 Pd
0.5000 0.5000 0.5000 Ag

8.
AgAsPdSe2 | Alexandria via LeMat-Bulk | PBE-GGA | optimized geometry; ΔE to the lowest computed polymorph = 0 meV/atom; formation energy (no corrections) = 0.485 eV per atom; total energy = -3.448 eV per atom
1.0
5.1352 0.0000 0.0000
0.0000 5.1352 0.0000
0.0000 0.0000 4.6689
As Se Pd Ag
1 2 1 1
direct
0.0000 0.0000 0.5000 As
0.0000 0.5000 0.0000 Se
0.5000 0.0000 0.0000 Se
0.0000 0.0000 0.0000 Pd
0.5000 0.5000 0.5000 Ag

9.
Ag2AsPdSe4 | Alexandria via LeMat-Bulk | PBE-GGA | optimized geometry; formation energy (no corrections) = -0.060 eV per atom; total energy = -3.745 eV per atom
1.0
5.8962 0.0010 -0.0038
-0.0004 5.8962 -0.0035
-2.9451 -2.9461 6.0020
Ag As Pd Se
2 1 1 4
direct
0.4859 0.9858 0.9718 Ag
0.2359 0.2359 0.4718 Ag
0.7359 0.7359 0.4718 As
0.9858 0.4859 0.9717 Pd
0.6362 0.6099 0.7226 Se
0.8619 0.3853 0.2209 Se
0.3590 0.8356 0.2209 Se
0.0865 0.1127 0.7226 Se

10.
AgAs2PdSe | Alexandria via LeMat-Bulk | PBE-GGA | optimized geometry; ΔE to the lowest computed polymorph = 177 meV/atom; formation energy (no corrections) = 0.727 eV per atom; total energy = -3.439 eV per atom
1.0
-0.3765 2.8378 -4.2061
2.8230 -2.9727 -2.2583
-4.0407 -2.7186 -1.4726
As Se Pd Ag
2 1 1 1
direct
0.0000 0.0000 0.5000 As
0.5000 0.0000 0.0000 As
0.0000 0.0000 0.0000 Se
0.0000 0.5000 0.0000 Pd
0.5000 0.5000 0.5000 Ag

11.
Sr2AgAs4Pd3 | Alexandria via LeMat-Bulk | PBE-GGA | optimized geometry; formation energy from the elements = -0.702 eV/atom; total energy = -4.741 eV per atom
1.0
-0.2378 -3.7833 2.3826
4.1516 -1.0724 -1.2885
3.8727 4.9962 8.3200
Sr Ag As Pd
2 1 4 3
direct
0.5000 0.0000 0.2485 Sr
0.0000 0.5000 0.7515 Sr
0.5000 0.5000 0.5000 Ag
0.5000 0.5000 0.0000 As
0.0000 0.0000 0.0000 As
0.5000 0.0000 0.6410 As
0.0000 0.5000 0.3590 As
0.0000 0.0000 0.5000 Pd
0.5000 0.0000 0.8812 Pd
0.0000 0.5000 0.1188 Pd

12.
SrAgAs2Pd5 | Alexandria via LeMat-Bulk | PBE-GGA | optimized geometry; formation energy from the elements = -0.353 eV/atom; total energy = -4.775 eV per atom
1.0
-3.4561 -2.4599 -1.9466
-1.2572 -1.5673 4.2128
-4.8418 6.1387 0.8389
Sr Ag As Pd
1 1 2 5
direct
0.0000 0.0000 0.5000 Sr
0.0000 0.0000 0.0000 Ag
0.5000 0.5000 0.1614 As
0.5000 0.5000 0.8386 As
0.0000 0.5000 0.2488 Pd
0.5000 0.0000 0.2488 Pd
0.0000 0.5000 0.7512 Pd
0.5000 0.0000 0.7512 Pd
0.5000 0.5000 0.5000 Pd